Record 1
Crystalline Th2AlCd at its relaxed geometry, computed with PBE-GGA.

The structure in CIF format:
```
data_Th2AlCd
_chemical_formula_sum 'Th2 Al1 Cd1'
_symmetry_space_group_name_H-M 'P 4/m m m'
_symmetry_Int_Tables_number 123
_symmetry_space_group_name_Hall '-P 4 2'
_cell_length_a 4.8418
_cell_length_b 4.8418
_cell_length_c 4.5446
_cell_angle_alpha 90.00
_cell_angle_beta 90.00
_cell_angle_gamma 90.00
loop_
_atom_site_label
_atom_site_type_symbol
_atom_site_fract_x
_atom_site_fract_y
_atom_site_fract_z
Th1 Th 0.0000 0.5000 0.0000
Al1 Al 0.0000 0.0000 0.5000
Cd1 Cd 0.5000 0.5000 0.5000
```

Formation energy from the elements = -14.0 kJ/mol of atoms
M_tot = 0.0 μB per formula unit
Calculated total energy = -5.020 eV per atom


Record 2
Crystalline Th2AlCd at its relaxed geometry, computed with PBE-GGA.

The structure in CIF format:
```
data_Th2AlCd
_chemical_formula_sum 'Th6 Al3 Cd3'
_symmetry_space_group_name_H-M 'R -3 m'
_symmetry_Int_Tables_number 166
_symmetry_space_group_name_Hall '-R 3 2"'
_cell_length_a 3.3440
_cell_length_b 3.3440
_cell_length_c 35.5417
_cell_angle_alpha 90.00
_cell_angle_beta 90.00
_cell_angle_gamma 120.00
loop_
_atom_site_label
_atom_site_type_symbol
_atom_site_fract_x
_atom_site_fract_y
_atom_site_fract_z
Th1 Th 0.0000 0.0000 0.0939
Al1 Al 0.0000 0.0000 0.5000
Cd1 Cd 0.0000 0.0000 0.0000
```

Formation energy from the elements = 17.7 kJ/mol of atoms
M_tot = 0.0 μB per formula unit
Calculated total energy = -4.691 eV per atom


Record 3
Crystalline ThAl4Cd at its relaxed geometry, computed with PBE-GGA.

The structure in CIF format:
```
data_ThAl4Cd
_chemical_formula_sum 'Th4 Al16 Cd4'
_symmetry_space_group_name_H-M 'F -4 3 m'
_symmetry_Int_Tables_number 216
_symmetry_space_group_name_Hall 'F -4 2 3'
_cell_length_a 7.9420
_cell_length_b 7.9420
_cell_length_c 7.9420
_cell_angle_alpha 90.00
_cell_angle_beta 90.00
_cell_angle_gamma 90.00
loop_
_atom_site_label
_atom_site_type_symbol
_atom_site_fract_x
_atom_site_fract_y
_atom_site_fract_z
Th1 Th 0.0000 0.0000 0.0000
Al1 Al 0.1253 0.1253 0.6253
Cd1 Cd 0.2500 0.2500 0.2500
```

Formation energy from the elements = -9.8 kJ/mol of atoms
M_tot = 0.0 μB per formula unit
Calculated total energy = -3.986 eV per atom


Record 4
Crystalline TmThAlCd at its relaxed geometry, computed with PBE-GGA.

The structure in CIF format:
```
data_TmThAlCd
_chemical_formula_sum 'Tm4 Th4 Al4 Cd4'
_symmetry_space_group_name_H-M 'F -4 3 m'
_symmetry_Int_Tables_number 216
_symmetry_space_group_name_Hall 'F -4 2 3'
_cell_length_a 7.4303
_cell_length_b 7.4303
_cell_length_c 7.4303
_cell_angle_alpha 90.00
_cell_angle_beta 90.00
_cell_angle_gamma 90.00
loop_
_atom_site_label
_atom_site_type_symbol
_atom_site_fract_x
_atom_site_fract_y
_atom_site_fract_z
Tm1 Tm 0.0000 0.0000 0.0000
Th1 Th 0.0000 0.0000 0.5000
Al1 Al 0.2500 0.2500 0.2500
Cd1 Cd 0.2500 0.2500 0.7500
```

Formation energy from the elements = -22.7 kJ/mol of atoms
M_tot = 0.0 μB per formula unit
Calculated total energy = -4.372 eV per atom


Record 5
Crystalline Th2Al3Zn4Cd at its relaxed geometry, computed with PBE-GGA.

The structure in CIF format:
```
data_Th2Al3Zn4Cd
_chemical_formula_sum 'Th2 Al3 Zn4 Cd1'
_symmetry_space_group_name_H-M 'P -4 m 2'
_symmetry_Int_Tables_number 115
_symmetry_space_group_name_Hall 'P -4 -2'
_cell_length_a 4.2750
_cell_length_b 4.2750
_cell_length_c 10.9160
_cell_angle_alpha 90.00
_cell_angle_beta 90.00
_cell_angle_gamma 90.00
loop_
_atom_site_label
_atom_site_type_symbol
_atom_site_fract_x
_atom_site_fract_y
_atom_site_fract_z
Th1 Th 0.0000 0.5000 0.2413
Al1 Al 0.0000 0.5000 0.8699
Al2 Al 0.5000 0.5000 0.5000
Zn1 Zn 0.0000 0.0000 0.0000
Zn2 Zn 0.0000 0.5000 0.6453
Zn3 Zn 0.5000 0.5000 0.0000
Cd1 Cd 0.0000 0.0000 0.5000
```

Formation energy from the elements = -31.0 kJ/mol of atoms
M_tot = 0.0 μB per formula unit
Calculated total energy = -3.529 eV per atom


Record 6
Crystalline TiAlCd at its relaxed geometry, computed with PBE-GGA.

The structure in CIF format:
```
data_TiAlCd
_chemical_formula_sum 'Ti2 Al2 Cd2'
_symmetry_space_group_name_H-M 'P 4/n m m'
_symmetry_Int_Tables_number 129
_cell_length_a 2.9358
_cell_length_b 2.9358
_cell_length_c 12.4790
_cell_angle_alpha 90.00
_cell_angle_beta 90.00
_cell_angle_gamma 90.00
loop_
_symmetry_equiv_pos_as_xyz
'x,y,z'
'-x,-y,-z'
'-y+1/2,x,z'
'y+1/2,-x,-z'
'-x+1/2,-y+1/2,z'
'x+1/2,y+1/2,-z'
'y,-x+1/2,z'
'-y,x+1/2,-z'
'x+1/2,-y,-z'
'-x+1/2,y,z'
'-y,-x,-z'
'y,x,z'
'-x,y+1/2,-z'
'x,-y+1/2,z'
'y+1/2,x+1/2,-z'
'-y+1/2,-x+1/2,z'
loop_
_atom_site_label
_atom_site_type_symbol
_atom_site_fract_x
_atom_site_fract_y
_atom_site_fract_z
Ti1 Ti 0.2500 0.2500 0.2189
Al1 Al 0.2500 0.2500 0.9236
Cd1 Cd 0.2500 0.2500 0.5991
```

Formation energy from the elements = -15.1 kJ/mol of atoms
M_tot = 0.0 μB per formula unit
Calculated total energy = -4.341 eV per atom